(1)
Dy2NpScSb4: relaxed, PBE.

a b c (Å): 7.501 4.335 7.515
angles (deg): 90.00 109.29 90.00
Sites, in units of the cell vectors:
Dy  0.000  0.000  0.000
Dy  0.500  0.500  0.000
Np  0.000  0.500  0.500
Sc  0.500  0.000  0.500
Sb  0.256  0.000  0.746
Sb  0.259  0.500  0.260
Sb  0.741  0.500  0.740
Sb  0.744  0.000  0.254

Summary:
- Symmetry: No. 10
- Uncorrected formation energy: -0.83 eV per atom

=====

(2)
DyTm3Mn: relaxed, PBE.

a b c (Å): 5.222 5.222 5.222
angles (deg): 90.00 90.00 90.00
Sites, in units of the cell vectors:
Dy  0.000  0.000  0.000
Tm  0.000  0.500  0.500
Tm  0.500  0.000  0.500
Tm  0.500  0.500  0.000
Mn  0.500  0.500  0.500

Summary:
- Formation energy from the elements: 1.1 eV/f.u.
- Symmetry: No. 221

=====

Results for size of the total moment: 0.4857, 0.1057 (in μB/atom, following the order of the records).
Results for DFT total energy: -6.45, -5.22 (in eV/atom, following the order of the records).